No. 1
# RbHo2Co | Alexandria | GGA-PBE | optimized geometry
data_RbHo2Co
_chemical_formula_sum 'Rb3 Ho6 Co3'
_cell_length_a 3.9499
_cell_length_b 3.9499
_cell_length_c 32.8585
_cell_angle_alpha 90.00
_cell_angle_beta 90.00
_cell_angle_gamma 120.00
_space_group_name_H-M_alt 'R -3 m'
_space_group_IT_number 166
_space_group_name_Hall '-R 3 2"'
loop_
_atom_site_label
_atom_site_type_symbol
_atom_site_fract_x
_atom_site_fract_y
_atom_site_fract_z
Rb1 Rb 0.0000 0.0000 0.0000
Ho1 Ho 0.0000 0.0000 0.1253
Co1 Co 0.0000 0.0000 0.5000
# Energy of formation   101 meV per atom

=====

No. 2
# HoCoReSi2 | Alexandria | GGA-PBE | optimized geometry
data_HoCoReSi2
_chemical_formula_sum 'Ho2 Co2 Re2 Si4'
_cell_length_a 4.0670
_cell_length_b 4.0670
_cell_length_c 9.7624
_cell_angle_alpha 90.00
_cell_angle_beta 90.00
_cell_angle_gamma 90.00
_space_group_name_H-M_alt 'I -4 m 2'
_space_group_IT_number 119
_space_group_name_Hall 'I -4 -2'
loop_
_atom_site_label
_atom_site_type_symbol
_atom_site_fract_x
_atom_site_fract_y
_atom_site_fract_z
Ho1 Ho 0.0000 0.0000 0.0000
Co1 Co 0.0000 0.5000 0.2500
Re1 Re 0.0000 0.5000 0.7500
Si1 Si 0.0000 0.0000 0.3733
# Uncorrected formation energy   -0.609 eV/atom

=====

No. 3
# Ho3CoRh8 | Alexandria | GGA-PBE | optimized geometry
data_Ho3CoRh8
_chemical_formula_sum 'Ho9 Co3 Rh24'
_cell_length_a 5.2588
_cell_length_b 5.2588
_cell_length_c 25.8667
_cell_angle_alpha 90.00
_cell_angle_beta 90.00
_cell_angle_gamma 120.00
_space_group_name_H-M_alt 'R 3 m'
_space_group_IT_number 160
_space_group_name_Hall 'R 3 -2"'
loop_
_atom_site_label
_atom_site_type_symbol
_atom_site_fract_x
_atom_site_fract_y
_atom_site_fract_z
Ho1 Ho 0.0000 0.0000 0.0000
Ho2 Ho 0.0000 0.0000 0.1301
Ho3 Ho 0.0000 0.0000 0.6133
Co1 Co 0.0000 0.0000 0.4853
Rh1 Rh 0.0000 0.0000 0.3121
Rh2 Rh 0.0000 0.0000 0.8128
Rh3 Rh 0.0003 0.5001 0.0632
Rh4 Rh 0.0002 0.5001 0.5612
# Energy of formation   -468 meV per atom

=====

No. 4
# HoCoRh | Alexandria | GGA-PBE | optimized geometry
data_HoCoRh
_chemical_formula_sum 'Ho4 Co4 Rh4'
_cell_length_a 4.9360
_cell_length_b 5.4499
_cell_length_c 7.3928
_cell_angle_alpha 90.00
_cell_angle_beta 90.00
_cell_angle_gamma 90.00
_space_group_name_H-M_alt 'I m m a'
_space_group_IT_number 74
_space_group_name_Hall '-I 2b 2'
loop_
_atom_site_label
_atom_site_type_symbol
_atom_site_fract_x
_atom_site_fract_y
_atom_site_fract_z
Ho1 Ho 0.0000 0.2500 0.1188
Co1 Co 0.2500 0.2500 0.7500
Rh1 Rh 0.0000 0.0000 0.5000
# Energy of formation   -510 meV per atom